# 1
## LiMgSc2B (PBE)

Data for a relaxed structure of LiMgSc2B.

Properties
Energy of formation from the pure elements (eV/atom): 0.057
DFT total energy (eV/atom): -4.5125
Spin magnetization (Bohr magnetons per cell): 0.0

Unit cell a=4.7429 b=4.7429 c=4.5801 alpha=90.00 beta=90.00 gamma=90.00
Closest atoms and distances in Å follow each position.
Fractional coordinates of all 5 atoms:
Li (0.0000, 0.0000, 0.0000)  8 Sc 3.30, 4 Mg 3.35
Mg (0.5000, 0.5000, 0.0000)  2 B 2.29
Sc (0.0000, 0.5000, 0.5000)  2 B 2.37
Sc (0.5000, 0.0000, 0.5000)  2 B 2.37
B (0.5000, 0.5000, 0.5000)  2 Mg 2.29, 4 Sc 2.37

---

# 2
## LiMg2VB (PBE)

Data for a relaxed structure of LiMg2VB.

Properties
Energy of formation from the pure elements (eV/atom): 1.095
DFT total energy (eV/atom): -3.0853
Spin magnetization (Bohr magnetons per cell): 0.3

Unit cell a=4.3423 b=4.3423 c=3.8762 alpha=90.00 beta=90.00 gamma=90.00
Closest atoms and distances in Å follow each position.
Fractional coordinates of all 5 atoms:
Li (0.0000, 0.0000, 0.0000)  2 B 1.94
Mg (0.0000, 0.5000, 0.0000)  2 Li 2.17
Mg (0.5000, 0.0000, 0.0000)  2 Li 2.17
V (0.5000, 0.5000, 0.5000)  8 Mg 2.91, 4 B 3.07
B (0.0000, 0.0000, 0.5000)  2 Li 1.94